(1)
Zr3Cd: optimized geometry, GGA-PBEsol.

Summary:
As for the final energy: -7.195 eV per atom. The space-group type is No. 47.

a b c (Å): 3.1565 4.0666 6.6037
angles (deg): 90.00 90.00 90.00
Positions (direct):
1 Zr 0.0000 0.0000 0.5000
2 Zr 0.5000 0.5000 0.2489
3 Zr 0.5000 0.5000 0.7511
4 Cd 0.0000 0.0000 0.0000

***

(2)
ZrCd: optimized geometry, GGA-PBEsol.

Summary:
As for the final energy: -5.226 eV per atom. The space-group type is No. 59.

a b c (Å): 3.1637 4.1711 6.3440
angles (deg): 90.00 90.00 90.00
Positions (direct):
1 Zr 0.0000 0.0000 0.1242
2 Zr 0.5000 0.5000 0.8758
3 Cd 0.0000 0.0000 0.6229
4 Cd 0.5000 0.5000 0.3771

***

(3)
Zr4Cd3: optimized geometry, GGA-PBEsol.

Summary:
As for the final energy: -5.821 eV per atom. The space-group type is No. 191.

a b c (Å): 5.5161 5.5457 5.5457
angles (deg): 120.00 90.00 90.00
Positions (direct):
1 Zr 0.7343 0.0000 0.0000
2 Zr 0.2657 0.0000 0.0000
3 Zr 0.5000 0.3333 0.6667
4 Zr 0.5000 0.6667 0.3333
5 Cd 0.0000 0.0000 0.5000
6 Cd 0.0000 0.5000 0.0000
7 Cd 0.0000 0.5000 0.5000

***

(4)
Zr5Cd4: optimized geometry, GGA-PBEsol.

Summary:
As for the final energy: -5.658 eV per atom. The space-group type is No. 139.

a b c (Å): 4.2533 6.9630 6.9630
angles (deg): 84.65 72.22 72.22
Positions (direct):
1 Cd 0.6613 0.3387 0.3387
2 Cd 0.3387 0.6613 0.6613
3 Cd 0.0000 0.3387 0.6613
4 Cd 0.0000 0.6613 0.3387
5 Zr 0.0000 0.0000 0.0000
6 Zr 0.6668 0.6664 0.0000
7 Zr 0.3332 0.0000 0.3336
8 Zr 0.6668 0.0000 0.6664
9 Zr 0.3332 0.3336 0.0000

***

(5)
ZrCd2: optimized geometry, GGA-PBEsol.

Summary:
As for the final energy: -3.953 eV per atom. The space-group type is No. 141.

a b c (Å): 4.3092 4.3092 13.6072
angles (deg): 99.11 99.11 90.00
Each line ends with the local moment (μB).
Positions (direct):
1 Cd 0.7501 0.7501 0.5001  0.01
2 Cd 0.2499 0.2499 0.4999  0.01
3 Cd 0.0001 0.5001 0.0001  0.01
4 Cd 0.4999 0.9999 0.9999  0.01
5 Cd 0.5838 0.5838 0.1677  0.01
6 Cd 0.4162 0.4162 0.8323  0.01
7 Cd 0.8338 0.3338 0.6677  0.01
8 Cd 0.6662 0.1662 0.3323  0.01
9 Zr 0.9168 0.9168 0.8336  0.26
10 Zr 0.0832 0.0832 0.1664  0.26
11 Zr 0.1668 0.6668 0.3336  0.26
12 Zr 0.3332 0.8332 0.6664  0.26

***

(6)
ZrCd3: optimized geometry, GGA-PBEsol.

Summary:
As for the final energy: -3.227 eV per atom. The space-group type is No. 187.

a b c (Å): 3.0691 3.0691 10.1028
angles (deg): 90.00 90.00 120.00
Positions (direct):
1 Zr 0.0000 0.0000 0.5000
2 Cd 0.3333 0.6667 0.2465
3 Cd 0.3333 0.6667 0.7535
4 Cd 0.0000 0.0000 0.0000

***

(7)
ZrCd: optimized geometry, GGA-PBEsol.

Summary:
As for the final energy: -5.188 eV per atom. The space-group type is No. 164.

a b c (Å): 3.1500 3.1500 9.9899
angles (deg): 90.00 90.00 120.00
Positions (direct):
1 Zr 0.6667 0.3333 0.6244
2 Zr 0.3333 0.6667 0.3756
3 Cd 0.6667 0.3333 0.1220
4 Cd 0.3333 0.6667 0.8780

***

(8)
Zr7Cd: optimized geometry, GGA-PBEsol.

Summary:
As for the final energy: -8.080 eV per atom. The space-group type is No. 225.

a b c (Å): 6.2617 6.2617 6.2617
angles (deg): 60.00 60.00 60.00
Positions (direct):
1 Zr 0.5000 0.0000 0.0000
2 Zr 0.5000 0.5000 0.0000
3 Zr 0.0000 0.5000 0.0000
4 Zr 0.5000 0.0000 0.5000
5 Zr 0.0000 0.0000 0.5000
6 Zr 0.0000 0.5000 0.5000
7 Zr 0.5000 0.5000 0.5000
8 Cd 0.0000 0.0000 0.0000

***

Question: The highest final energy belongs to which entry?
Answer: ZrCd3

***

Repeat the seventh record exactly.
ZrCd: optimized geometry, GGA-PBEsol.

Summary:
As for the final energy: -5.188 eV per atom. The space-group type is No. 164.

a b c (Å): 3.1500 3.1500 9.9899
angles (deg): 90.00 90.00 120.00
Positions (direct):
1 Zr 0.6667 0.3333 0.6244
2 Zr 0.3333 0.6667 0.3756
3 Cd 0.6667 0.3333 0.1220
4 Cd 0.3333 0.6667 0.8780

***

Question: Which value of final energy does entry 6 give?
Answer: -3.227 eV per atom

***

Question: Among the records above, which one has the highest final energy?
Answer: ZrCd3